[1]
Below is a relaxed SrOsCl6 crystal, with properties calculated at the GGA-PBE level.

Output
E above lowest polymorph: 0.000 eV/atom
Fermi-level density of states: 4.20 states/eV/f.u.
energy relative to the elements, uncorrected: -1.14 eV/atom

Cell: 8.4007 10.4768 7.1054 Å, 90.00 118.47 90.00°
Space group C2/m (No. 12)
Unique sites:
Sr: 0.0000 0.0000 0.0000 (multiplicity 2)
Os: 0.0000 0.0000 0.5000 (multiplicity 2)
Cl: 0.1307 0.1597 0.7648 (multiplicity 8)
Cl: 0.2386 0.5000 0.5427 (multiplicity 4)



[2]
Below is a relaxed SrOsCl2 crystal, with properties calculated at the GGA-PBE level.

Output
E above lowest polymorph: 0.482 eV/atom
Fermi-level density of states: 5.71 states/eV/f.u.
energy relative to the elements, uncorrected: 0.08 eV/atom

Cell: 3.9768 3.9768 11.7863 Å, 90.00 90.00 90.00°
Space group I-4m2 (No. 119)
Unique sites:
Sr: 0.0000 0.0000 0.0000 (multiplicity 2)
Os: 0.0000 0.5000 0.2500 (multiplicity 2)
Cl: 0.0000 0.0000 0.5000 (multiplicity 2)
Cl: 0.0000 0.5000 0.7500 (multiplicity 2)



[3]
Below is a relaxed SrOsCl3 crystal, with properties calculated at the GGA-PBE level.

Output
E above lowest polymorph: 0.000 eV/atom
Fermi-level density of states: 2.71 states/eV/f.u.
energy relative to the elements, uncorrected: -0.50 eV/atom

Cell: 4.8664 4.8664 4.8664 Å, 90.00 90.00 90.00°
Space group Pm-3m (No. 221)
Unique sites:
Sr: 0.0000 0.0000 0.0000 (multiplicity 1)
Os: 0.5000 0.5000 0.5000 (multiplicity 1)
Cl: 0.0000 0.5000 0.5000 (multiplicity 3)



[4]
Below is a relaxed SrOsCl6 crystal, with properties calculated at the GGA-PBE level.

Output
E above lowest polymorph: 0.019 eV/atom
Fermi-level density of states: 6.03 states/eV/f.u.
energy relative to the elements, uncorrected: -1.12 eV/atom

Cell: 6.5211 6.5211 17.9287 Å, 90.00 90.00 120.00°
Space group R-3 (No. 148, hexagonal axes)
Unique sites:
Sr: 0.0000 0.0000 0.0000 (multiplicity 3)
Os: 0.0000 0.0000 0.5000 (multiplicity 3)
Cl: 0.0224 0.3892 0.0917 (multiplicity 18)